(1)
Li2TlSe2 | PBE-GGA | relaxed

Computed properties:
**Distance to the lowest polymorph of the same formula**: 0 meV per atom
**Uncorrected formation energy**: -0.733 eV/atom

Cell lengths 6.4569, 6.4569, 6.4569 Å; angles 139.56, 139.56, 58.52 degrees
With the nearest neighbours (Å) after each atom.
Element x y z (fractional)
Li: 0.2500 0.7500 0.5000  4 Se 2.59
Li: 0.7500 0.2500 0.5000  4 Se 2.59
Tl: 0.0000 0.0000 0.0000  8 Se 3.50, 8 Li 3.59
Se: 0.3667 0.3667 0.0000  4 Li 2.59
Se: 0.6333 0.6333 0.0000  4 Li 2.59


(2)
Ta4GeN2 | PBE-GGA | relaxed

Computed properties:
**Uncorrected formation energy**: 0.858 eV/atom

Cell lengths 6.5377, 6.5377, 6.5377 Å; angles 138.71, 138.71, 59.82 degrees
With the nearest neighbours (Å) after each atom.
Element x y z (fractional)
Ta: 0.0000 0.5000 0.5000  2 Ge 2.31, 4 N 2.54
Ta: 0.2408 0.2408 0.0000  1 N 1.86
Ta: 0.5000 0.0000 0.5000  2 Ge 2.31, 4 N 2.54
Ta: 0.7592 0.7592 0.0000  1 N 1.86
Ge: 0.0000 0.0000 0.0000  4 Ta 2.31
N: 0.4052 0.4052 0.0000  1 Ta 1.86
N: 0.5948 0.5948 0.0000  1 Ta 1.86


(3)
TlTcN2 | PBE-GGA | relaxed

Computed properties:
**Distance to the lowest polymorph of the same formula**: 261 meV per atom
**Uncorrected formation energy**: 0.471 eV/atom

Cell lengths 7.2908, 7.2908, 7.2908 Å; angles 23.84, 23.84, 23.84 degrees
With the nearest neighbours (Å) after each atom.
Element x y z (fractional)
Tl: 0.0000 0.0000 0.0000  2 N 2.40
Tc: 0.5000 0.5000 0.5000  6 N 2.08
N: 0.1131 0.1131 0.1131  3 Tc 2.08
N: 0.8869 0.8869 0.8869  3 Tc 2.08


(4)
ZnGa2PtBr | PBE-GGA | relaxed

Computed properties:
**Uncorrected formation energy**: -0.445 eV/atom

Cell lengths 4.8887, 4.8887, 4.9711 Å; angles 90.00, 90.00, 90.00 degrees
With the nearest neighbours (Å) after each atom.
Element x y z (fractional)
Zn: 0.0000 0.0000 0.0000  2 Pt 2.49
Ga: 0.0000 0.5000 0.5000  2 Pt 2.44
Ga: 0.5000 0.0000 0.5000  2 Pt 2.44
Pt: 0.0000 0.0000 0.5000  4 Ga 2.44, 2 Zn 2.49
Br: 0.5000 0.5000 0.0000  4 Zn 3.46, 8 Ga 3.49


(5)
ZrZnSi | PBE-GGA | relaxed

Computed properties:
**Uncorrected formation energy**: -0.239 eV/atom

Cell lengths 5.6727, 5.4662, 3.2520 Å; angles 76.54, 69.58, 33.88 degrees
With the nearest neighbours (Å) after each atom.
Element x y z (fractional)
Zr: 0.0000 0.0000 0.0000  2 Si 2.70, 2 Zn 2.80
Zn: 0.3101 0.3101 0.6899  2 Si 2.45
Si: 0.6755 0.6755 0.3245  2 Zn 2.45, 2 Zr 2.70


(6)
TbTm5In6 | PBE-GGA | relaxed

Computed properties:
**E_form**: -0.432 eV/atom

Cell lengths 8.3486, 8.3486, 7.4225 Å; angles 90.00, 90.00, 143.12 degrees
With the nearest neighbours (Å) after each atom.
Element x y z (fractional)
Tb: 0.0000 0.0000 0.0000  8 In 3.23-3.25
Tm: 0.0000 0.0000 0.5000  8 In 3.22-3.23
Tm: 0.3328 0.6672 0.0000  8 In 3.21-3.24
Tm: 0.3347 0.6653 0.5000  8 In 3.20-3.22
Tm: 0.6653 0.3347 0.5000  8 In 3.20-3.22
Tm: 0.6672 0.3328 0.0000  8 In 3.21-3.24
In: 0.1679 0.8321 0.2524  7 Tm 3.21-3.24, 1 Tb 3.25
In: 0.1679 0.8321 0.7476  7 Tm 3.21-3.24, 1 Tb 3.25
In: 0.5000 0.5000 0.2516  6 Tm 3.20-3.24, 2 Tb 3.23
In: 0.5000 0.5000 0.7484  6 Tm 3.20-3.24, 2 Tb 3.23
In: 0.8321 0.1679 0.2524  7 Tm 3.21-3.24, 1 Tb 3.25
In: 0.8321 0.1679 0.7476  7 Tm 3.21-3.24, 1 Tb 3.25


| no. | D(E_F) (states/eV per atom) | mass density (g/cm3) |
| --- | --- | --- |
| 1 | 0.623 | 5.57 |
| 2 | 0.733 | 11.37 |
| 3 | 0.474 | 9.86 |
| 4 | 0.357 | 6.71 |
| 5 | 0.556 | 5.86 |
| 6 | 0.485 | 9.05 |